A geometry-optimized Rb3Mg2Cl7 structure, computed with PBE-GGA.

abc: 5.1061 26.8416 4.9995
angles: 90.00 90.00 90.00
Space group Cmmm (No. 65)
One atom of each set of equivalent atoms:
Rb1 0.0000 0.0000 0.0000 x2
Rb2 0.0000 0.1789 0.0000 x4
Mg1 0.0000 0.4035 0.5000 x4
Cl1 0.0000 0.0928 0.5000 x4
Cl2 0.0000 0.3114 0.5000 x4
Cl3 0.0000 0.4068 0.0000 x4
Cl4 0.0000 0.5000 0.5000 x2

Results
**Formation energy without anion corrections**: -22.822 eV/f.u.
**Total energy**: -3.49 eV/atom
**Spin magnetization**: 0.00 μB/cell
**V**: 28.55 Å³/atom